A relaxed structure of Zn2CoOs. Source: Alexandria via LeMat-Bulk, functional GGA-PBE.

Calculated values
- Distance to the lowest polymorph of the same formula: 0.084 eV/atom
- Calculated total energy: -20.27 eV/cell
- ΔH_f (0 K): 0.15 eV/atom

```
data_Zn2CoOs
_chemical_formula_sum 'Zn2 Co1 Os1'
_symmetry_space_group_name_H-M 'P 1'
_symmetry_Int_Tables_number 1
_cell_length_a 2.657
_cell_length_b 3.633
_cell_length_c 5.449
_cell_angle_alpha 90.00
_cell_angle_beta 90.00
_cell_angle_gamma 90.00
loop_
_symmetry_equiv_pos_as_xyz
'x,y,z'
loop_
_atom_site_label
_atom_site_type_symbol
_atom_site_fract_x
_atom_site_fract_y
_atom_site_fract_z
Co1 Co 0.000 0.000 0.511
Zn1 Zn 0.500 0.500 0.254
Os1 Os 0.500 0.500 0.731
Zn2 Zn 0.000 0.000 0.004
```

A relaxed structure of CuIrPb2O6. Source: Alexandria via LeMat-Bulk, functional GGA-PBE.

Calculated values
- Calculated total energy: -58.35 eV/cell
- Uncorrected formation energy: -823 meV per atom

```
data_CuIrPb2O6
_chemical_formula_sum 'Cu1 Ir1 Pb2 O6'
_symmetry_space_group_name_H-M 'P 1'
_symmetry_Int_Tables_number 1
_cell_length_a 5.128
_cell_length_b 5.332
_cell_length_c 6.026
_cell_angle_alpha 116.26
_cell_angle_beta 111.53
_cell_angle_gamma 90.00
loop_
_symmetry_equiv_pos_as_xyz
'x,y,z'
loop_
_atom_site_label
_atom_site_type_symbol
_atom_site_fract_x
_atom_site_fract_y
_atom_site_fract_z
O1 O 0.714 0.310 0.619
Cu1 Cu 0.500 0.000 0.000
O2 O 0.286 0.690 0.381
Pb1 Pb 0.779 0.752 0.504
O3 O 0.193 0.182 0.867
O4 O 0.193 0.684 0.867
O5 O 0.807 0.316 0.133
Pb2 Pb 0.221 0.248 0.496
Ir1 Ir 0.000 0.500 0.000
O6 O 0.807 0.818 0.133
```

A relaxed structure of RbPdSeCl6. Source: Alexandria via LeMat-Bulk, functional GGA-PBE.

Calculated values
- Calculated total energy: -27.01 eV/cell
- Uncorrected formation energy: -698 meV per atom

```
data_RbPdSeCl6
_chemical_formula_sum 'Rb1 Pd1 Se1 Cl6'
_symmetry_space_group_name_H-M 'P 1'
_symmetry_Int_Tables_number 1
_cell_length_a 6.957
_cell_length_b 8.315
_cell_length_c 6.850
_cell_angle_alpha 101.57
_cell_angle_beta 96.92
_cell_angle_gamma 53.35
loop_
_symmetry_equiv_pos_as_xyz
'x,y,z'
loop_
_atom_site_label
_atom_site_type_symbol
_atom_site_fract_x
_atom_site_fract_y
_atom_site_fract_z
Cl1 Cl 0.603 0.057 0.277
Pd1 Pd 0.672 0.664 0.500
Cl2 Cl 0.604 0.340 0.723
Cl3 Cl 0.973 0.383 0.289
Cl4 Cl 0.974 0.644 0.712
Cl5 Cl 0.386 0.650 0.310
Cl6 Cl 0.387 0.965 0.691
Rb1 Rb 0.059 0.970 0.000
Se1 Se 0.343 0.329 0.500
```